Entry from the Alexandria database: a relaxed structure of Ti5V2H4 (PBE).

Symmetry   C2/m
Volume   10.849 A^3/atom
VASP energy   -6.622 eV/atom

```
Ti5V2H4
1.0
-1.321 2.317 -0.448
-4.762 -3.474 -3.931
-9.950 -7.364 -0.594
Ti V H
5 2 4
Direct
0.141 0.878 0.282
0.859 0.122 0.718
0.218 0.270 0.435
0.500 0.000 0.000
0.782 0.730 0.565
0.570 0.423 0.140
0.430 0.577 0.860
0.650 0.641 0.301
0.063 0.634 0.127
0.350 0.359 0.699
0.937 0.366 0.873
```